CdP2Au2 | GGA-PBEsol | relaxed

a = 3.292 Å, b = 3.292 Å, c = 16.089 Å
α = 90.00°, β = 90.00°, γ = 90.00°
Fractional positions:
Cd: 0.000 0.000 0.000
Cd: 0.500 0.500 0.500
P: 0.000 0.500 0.250
P: 0.000 0.500 0.750
P: 0.500 0.000 0.250
P: 0.500 0.000 0.750
Au: 0.000 0.000 0.397
Au: 0.000 0.000 0.603
Au: 0.500 0.500 0.103
Au: 0.500 0.500 0.897

Output
crystal system	tetragonal
ΔH_f (0 K)	0.1881	eV per atom
size of the total moment	0.00	Bohr magnetons per cell
SG	No. 139
final energy	-3.937	eV per atom

CdPAu2 | GGA-PBEsol | relaxed

a = 2.867 Å, b = 4.201 Å, c = 5.835 Å
α = 90.00°, β = 90.00°, γ = 90.00°
Fractional positions:
Cd: 0.000 0.000 0.000
P: 0.500 0.000 0.500
Au: 0.500 0.500 0.249
Au: 0.500 0.500 0.751

Output
polymorph energy (0 for the lowest one)	0.000	eV/atom
crystal system	orthorhombic
ΔH_f (0 K)	0.0820	eV per atom
size of the total moment	0.00	Bohr magnetons per cell
SG	No. 47
final energy	-3.627	eV per atom